# Cd2MoIF

A geometry-optimized Cd2MoIF structure (PBE with a Hubbard U, the Alexandria database).

```
data_Cd2MoIF
_cell_length_a 4.649
_cell_length_b 4.649
_cell_length_c 6.545
_cell_angle_alpha 90.00
_cell_angle_beta 90.00
_cell_angle_gamma 90.00
_symmetry_space_group_name_H-M 'P 1'
_symmetry_Int_Tables_number 1
_symmetry_space_group_name_Hall 'P 1'
loop_
_atom_site_label
_atom_site_fract_x
_atom_site_fract_y
_atom_site_fract_z
Cd1 0.000 0.500 0.000
Cd2 0.500 0.000 0.000
Mo1 0.000 0.000 0.500
I1 0.500 0.500 0.500
F1 0.500 0.500 0.000
```

Calculated values
As for the energy: -12.337 eV per cell. The total magnetic moment comes out at 4.7 μB/cell. As for the calculated volume: 141 Å³ per cell. As for the space group: P4/mmm.